The following is a DFT calculation (GGA+U) of a relaxed RbNp2VO8 crystal.

Lattice parameters (Å, degrees): 5.0144 5.0049 7.3927 88.16 88.27 85.27
Last column: nearest neighbours and their distance in Å.
Element x y z (fractional)
V  0.0000  0.0000  0.0000  4 O 2.01
Np  0.4844  0.4849  0.7711  4 O 1.91-2.01
O  0.2081  0.7916  0.8074  1 Np 2.00, 1 V 2.01
O  0.7953  0.2130  0.8066  1 Np 2.00, 1 V 2.01
O  0.6484  0.6560  0.5676  1 Np 1.91
O  0.6871  0.6910  0.0120  1 Np 2.01
Rb  0.0000  0.0000  0.5000  6 O 2.59-2.68
O  0.3516  0.3440  0.4324  1 Np 1.91
O  0.3129  0.3090  0.9880  1 Np 2.01
Np  0.5156  0.5151  0.2289  4 O 1.91-2.01
O  0.2047  0.7870  0.1934  1 Np 2.00, 1 V 2.01
O  0.7919  0.2084  0.1926  1 Np 2.00, 1 V 2.01

Computed properties:
Total magnetic moment (μB/f.u.): 4.0
Symmetry: No. 2
E (eV/atom): -8.527